Entry 1:
## LiGaSn (PBE)

Data for crystalline LiGaSn at its relaxed geometry.

a b c (Å): 7.1193 7.1193 4.3809
angles (deg): 90.00 90.00 146.55
Atoms (fractional coordinates):
1 Li 0.0921 0.9079 0.7500
2 Li 0.9079 0.0921 0.2500
3 Ga 0.2513 0.7487 0.2500
4 Ga 0.7487 0.2513 0.7500
5 Sn 0.4160 0.5840 0.7500
6 Sn 0.5840 0.4160 0.2500

---

Entry 2:
## Ti2IrAu (PBE)

Data for crystalline Ti2IrAu at its relaxed geometry.

a b c (Å): 2.9485 2.9485 7.4154
angles (deg): 90.00 90.00 90.00
Atoms (fractional coordinates):
1 Ti 0.0000 0.0000 0.2313
2 Ti 0.0000 0.0000 0.7687
3 Ir 0.5000 0.5000 0.0000
4 Au 0.5000 0.5000 0.5000

---

In order of appearance, total magnetic moment = 0.0; 0.6 Bohr magnetons per cell.
In order of appearance, final energy = -9.52; -30.36 eV/f.u..
In order of appearance, theoretical density = 5.3; 12.5 Mg/m³.